# CaBe2As (PBE, optimized geometry)
# * crystal system: trigonal
# * calculated total energy: -0.2714 Ry/atom
data_CaBe2As
_symmetry_space_group_name_H-M 'P 1'
_symmetry_Int_Tables_number 1
_cell_length_a 3.749
_cell_length_b 3.749
_cell_length_c 5.954
_cell_angle_alpha 71.61
_cell_angle_beta 71.61
_cell_angle_gamma 59.99
loop_
_symmetry_equiv_pos_as_xyz
'x,y,z'
loop_
_atom_site_label
_atom_site_type_symbol
_atom_site_fract_x
_atom_site_fract_y
_atom_site_fract_z
_atom_site_occupancy
As1 As 0.290 0.290 0.130 1
Be1 Be 0.698 0.698 0.906 1
Be2 Be 0.026 0.026 0.924 1
Ca1 Ca 0.487 0.487 0.540 1

=====

# LiPuAuO6 (PBE, optimized geometry)
# * crystal system: tetragonal
# * formation energy (no corrections): -12.3 eV per formula unit
data_LiPuAuO6
_symmetry_space_group_name_H-M 'P 1'
_symmetry_Int_Tables_number 1
_cell_length_a 4.893
_cell_length_b 4.893
_cell_length_c 9.379
_cell_angle_alpha 90.00
_cell_angle_beta 90.00
_cell_angle_gamma 90.00
loop_
_symmetry_equiv_pos_as_xyz
'x,y,z'
loop_
_atom_site_label
_atom_site_type_symbol
_atom_site_fract_x
_atom_site_fract_y
_atom_site_fract_z
_atom_site_occupancy
O1 O 0.303 0.303 0.002 1
O2 O 0.688 0.688 0.337 1
O3 O 0.187 0.813 0.160 1
O4 O 0.697 0.697 0.002 1
O5 O 0.803 0.197 0.502 1
O6 O 0.813 0.187 0.160 1
O7 O 0.197 0.803 0.502 1
O8 O 0.188 0.812 0.837 1
O9 O 0.312 0.312 0.337 1
O10 O 0.313 0.313 0.660 1
O11 O 0.812 0.188 0.837 1
O12 O 0.687 0.687 0.660 1
Li1 Li 0.000 0.000 0.336 1
Li2 Li 0.500 0.500 0.836 1
Au1 Au 0.000 0.000 0.664 1
Au2 Au 0.500 0.500 0.164 1
Pu1 Pu 0.000 0.000 0.002 1
Pu2 Pu 0.500 0.500 0.502 1

=====

# K2PaInTe5 (PBE, optimized geometry)
# * crystal system: orthorhombic
# * formation energy (no corrections): -7.2 eV per formula unit
data_K2PaInTe5
_symmetry_space_group_name_H-M 'P 1'
_symmetry_Int_Tables_number 1
_cell_length_a 4.531
_cell_length_b 10.645
_cell_length_c 15.037
_cell_angle_alpha 90.00
_cell_angle_beta 90.00
_cell_angle_gamma 102.29
loop_
_symmetry_equiv_pos_as_xyz
'x,y,z'
loop_
_atom_site_label
_atom_site_type_symbol
_atom_site_fract_x
_atom_site_fract_y
_atom_site_fract_z
_atom_site_occupancy
Pa1 Pa 0.791 0.582 0.526 1
Pa2 Pa 0.209 0.418 0.026 1
Te1 Te 0.705 0.409 0.158 1
Te2 Te 0.295 0.591 0.658 1
Te3 Te 0.501 0.001 0.767 1
Te4 Te 0.499 0.999 0.267 1
Te5 Te 0.345 0.691 0.007 1
Te6 Te 0.058 0.116 0.047 1
Te7 Te 0.300 0.601 0.386 1
Te8 Te 0.655 0.309 0.507 1
Te9 Te 0.942 0.884 0.547 1
Te10 Te 0.700 0.399 0.886 1
K1 K 0.115 0.230 0.682 1
K2 K 0.880 0.759 0.826 1
K3 K 0.885 0.770 0.182 1
K4 K 0.120 0.241 0.326 1
In1 In 0.439 0.879 0.426 1
In2 In 0.561 0.121 0.926 1